[1]
The following is a DFT calculation (PBE) of an optimized crystal structure of Nb8MoW2.

Crystal system ... monoclinic
Density ... 9.88 g/cm³
Density of states at the Fermi level ... 11.10 states/eV per cell
Space group ... C2/m
Distance to the lowest polymorph of the same formula ... 0.309 eV/atom
DFT total energy ... -10.41 eV per atom

abc: 5.207 7.683 7.683
angles: 41.42 85.94 85.94
Sites, in units of the cell vectors:
Nb (0.116, 0.417, 0.417)
Nb (0.886, 0.210, 0.210)
Nb (0.114, 0.790, 0.790)
Nb (0.884, 0.583, 0.583)
Nb (0.620, 0.152, 0.662)
Nb (0.380, 0.848, 0.338)
Nb (0.380, 0.338, 0.848)
Nb (0.620, 0.662, 0.152)
W (0.625, 0.741, 0.741)
W (0.375, 0.259, 0.259)
Mo (0.000, 0.000, 0.000)

---

[2]
The following is a DFT calculation (PBE) of an optimized crystal structure of Tb6HoTm.

Crystal system ... triclinic
Density ... 8.39 g/cm³
Density of states at the Fermi level ... 13.81 states/eV per cell
Space group ... P-1
Distance to the lowest polymorph of the same formula ... 0.183 eV/atom
DFT total energy ... -4.40 eV per atom

abc: 6.716 6.511 6.905
angles: 102.66 60.70 90.09
Sites, in units of the cell vectors:
Tb (0.572, 0.770, 0.523)
Tb (0.905, 0.269, 0.520)
Tb (0.449, 0.249, 0.999)
Tb (0.095, 0.731, 0.480)
Tb (0.551, 0.751, 0.001)
Tb (0.428, 0.230, 0.477)
Tm (0.000, 0.000, 0.000)
Ho (0.000, 0.500, 0.000)

---

[3]
The following is a DFT calculation (PBE) of an optimized crystal structure of TcIrBr2.

Crystal system ... tetragonal
Density ... 8.91 g/cm³
Density of states at the Fermi level ... 2.62 states/eV per cell
Space group ... P4mm
Distance to the lowest polymorph of the same formula ... 0.177 eV/atom
Formation energy from raw total energies ... 0.343 eV per atom
DFT total energy ... -5.30 eV per atom

abc: 3.050 3.050 9.022
angles: 90.00 90.00 90.01
Sites, in units of the cell vectors:
Ir (0.000, 0.000, 0.547)
Tc (0.500, 0.500, 0.712)
Br (0.000, 0.000, 0.915)
Br (0.500, 0.500, 0.326)

---

[4]
The following is a DFT calculation (PBE) of an optimized crystal structure of LaZrCd.

Crystal system ... cubic
Density ... 6.00 g/cm³
Density of states at the Fermi level ... 4.83 states/eV per cell
Space group ... F-43m
Distance to the lowest polymorph of the same formula ... 0.507 eV/atom
DFT total energy ... -4.40 eV per atom

abc: 5.117 5.117 5.117
angles: 60.00 60.00 60.00
Sites, in units of the cell vectors:
Zr (0.500, 0.500, 0.500)
La (0.000, 0.000, 0.000)
Cd (0.250, 0.250, 0.250)

---

[5]
The following is a DFT calculation (PBE) of an optimized crystal structure of K2Hg6Pt.

Crystal system ... cubic
Density ... 9.52 g/cm³
Density of states at the Fermi level ... 2.38 states/eV per cell
Space group ... Fm-3m
DFT total energy ... -1.31 eV per atom

abc: 7.141 7.141 7.141
angles: 60.00 60.00 60.00
Sites, in units of the cell vectors:
Hg (0.274, 0.274, 0.726)
Hg (0.726, 0.274, 0.726)
Hg (0.274, 0.726, 0.274)
Hg (0.726, 0.274, 0.274)
Hg (0.726, 0.726, 0.274)
Hg (0.274, 0.726, 0.726)
K (0.250, 0.250, 0.250)
K (0.750, 0.750, 0.750)
Pt (0.000, 0.000, 0.000)

---

[6]
The following is a DFT calculation (PBE) of an optimized crystal structure of InPtRh2.

Crystal system ... tetragonal
Density ... 12.10 g/cm³
Density of states at the Fermi level ... 10.56 states/eV per cell
Space group ... I-42d
DFT total energy ... -5.72 eV per atom

abc: 3.894 3.894 9.734
angles: 78.46 78.46 90.00
Sites, in units of the cell vectors:
Pt (0.000, 0.000, 0.000)
Pt (0.750, 0.250, 0.500)
Rh (0.375, 0.343, 0.750)
Rh (0.657, 0.125, 0.250)
Rh (0.093, 0.625, 0.250)
Rh (0.875, 0.907, 0.750)
In (0.250, 0.750, 0.500)
In (0.500, 0.500, 0.000)

---

[7]
The following is a DFT calculation (PBE) of an optimized crystal structure of Mg2ZnRh2.

Crystal system ... orthorhombic
Density ... 6.13 g/cm³
Density of states at the Fermi level ... 3.22 states/eV per cell
Space group ... Ibam
DFT total energy ... -3.94 eV per atom

abc: 5.020 6.926 6.570
angles: 121.81 112.46 90.00
Sites, in units of the cell vectors:
Rh (0.857, 0.111, 0.713)
Rh (0.143, 0.889, 0.287)
Rh (0.643, 0.397, 0.287)
Rh (0.357, 0.603, 0.713)
Mg (0.612, 0.977, 0.224)
Mg (0.112, 0.246, 0.224)
Mg (0.388, 0.023, 0.776)
Mg (0.888, 0.754, 0.776)
Zn (0.750, 0.500, 0.000)
Zn (0.250, 0.500, 0.000)

---

[8]
The following is a DFT calculation (PBE) of an optimized crystal structure of KPaOsO6.

Crystal system ... orthorhombic
Density ... 5.81 g/cm³
Density of states at the Fermi level ... 7.88 states/eV per cell
Space group ... Imma
Formation energy from raw total energies ... -2.129 eV per atom
DFT total energy ... -7.86 eV per atom

abc: 8.001 7.374 7.656
angles: 118.79 121.50 90.00
Sites, in units of the cell vectors:
O (0.204, 0.345, 0.748)
O (0.796, 0.097, 0.252)
O (0.456, 0.097, 0.252)
O (0.176, 0.926, 0.352)
O (0.471, 0.721, 0.942)
O (0.796, 0.655, 0.252)
O (0.824, 0.074, 0.648)
O (0.529, 0.279, 0.058)
O (0.204, 0.903, 0.748)
O (0.544, 0.345, 0.748)
O (0.456, 0.655, 0.252)
O (0.544, 0.903, 0.748)
K (0.186, 0.436, 0.372)
K (0.814, 0.564, 0.628)
Os (0.500, 0.500, 0.000)
Os (0.500, 0.000, 0.000)
Pa (0.500, 0.000, 0.500)
Pa (0.000, 0.000, 0.500)